No. 1
The following is a DFT calculation (GGA-PBE) of NdHo3Pd after structural relaxation.

Cell lengths 6.113, 9.784, 9.784 Å; angles 85.41, 81.17, 81.17 degrees
Fractional coordinates of all 20 atoms:
Nd  0.250  0.930  0.070
Nd  0.750  0.070  0.930
Nd  0.250  0.202  0.798
Nd  0.750  0.798  0.202
Ho  0.719  0.738  0.851
Ho  0.781  0.149  0.262
Ho  0.281  0.262  0.149
Ho  0.219  0.851  0.738
Ho  0.773  0.413  0.997
Ho  0.727  0.003  0.587
Ho  0.227  0.587  0.003
Ho  0.273  0.997  0.413
Ho  0.513  0.498  0.681
Ho  0.987  0.319  0.502
Ho  0.487  0.502  0.319
Ho  0.013  0.681  0.498
Pd  0.018  0.502  0.739
Pd  0.482  0.261  0.498
Pd  0.982  0.498  0.261
Pd  0.518  0.739  0.502

Size of the total moment: 0.000 μB per formula unit
Symmetry: C2/c, No. 15
Energy above the lowest structure with this stoichiometry: 0.0 kJ/mol of formula units
DFT formation energy: -0.32 eV/atom
Raw total energy: -5.06 eV/atom

=====

No. 2
The following is a DFT calculation (GGA-PBE) of Nd2HoPd after structural relaxation.

Cell lengths 3.773, 3.773, 10.088 Å; angles 79.22, 79.22, 60.00 degrees
Fractional coordinates of all 4 atoms:
Nd  0.266  0.266  0.201
Nd  0.734  0.734  0.799
Ho  0.500  0.500  0.500
Pd  0.000  0.000  0.000

Size of the total moment: 0.000 μB per formula unit
Symmetry: R-3m, No. 166
Energy above the lowest structure with this stoichiometry: 62.7 kJ/mol of formula units
DFT formation energy: -0.24 eV/atom
Raw total energy: -5.07 eV/atom

=====

No. 3
The following is a DFT calculation (GGA-PBE) of Nd2HoPd3 after structural relaxation.

Cell lengths 5.888, 8.341, 7.194 Å; angles 106.87, 114.16, 90.00 degrees
Fractional coordinates of all 12 atoms:
Nd  0.670  0.584  0.336
Nd  0.666  0.084  0.336
Nd  0.334  0.916  0.664
Nd  0.330  0.416  0.664
Ho  0.990  0.750  0.000
Ho  0.010  0.250  0.000
Pd  0.510  0.250  0.000
Pd  0.490  0.750  0.000
Pd  0.157  0.079  0.317
Pd  0.839  0.421  0.683
Pd  0.161  0.579  0.317
Pd  0.843  0.921  0.683

Size of the total moment: 0.000 μB per formula unit
Symmetry: C2/c, No. 15
DFT formation energy: -0.69 eV/atom
Raw total energy: -5.64 eV/atom

=====

No. 4
The following is a DFT calculation (GGA-PBE) of NdHo5Pd2 after structural relaxation.

Cell lengths 3.829, 6.725, 18.046 Å; angles 90.00, 90.00, 106.54 degrees
Fractional coordinates of all 16 atoms:
Nd  0.651  0.302  0.750
Nd  0.349  0.698  0.250
Ho  0.947  0.894  0.899
Ho  0.947  0.894  0.601
Ho  0.344  0.689  0.457
Ho  0.344  0.689  0.043
Ho  0.613  0.226  0.250
Ho  0.387  0.774  0.750
Ho  0.656  0.311  0.543
Ho  0.656  0.311  0.957
Ho  0.053  0.106  0.101
Ho  0.053  0.106  0.399
Pd  0.739  0.478  0.375
Pd  0.739  0.478  0.125
Pd  0.261  0.522  0.625
Pd  0.261  0.522  0.875

Size of the total moment: 0.000 μB per formula unit
Symmetry: Cmcm, No. 63
DFT formation energy: -0.38 eV/atom
Raw total energy: -5.13 eV/atom

=====

No. 5
The following is a DFT calculation (GGA-PBE) of NdHo3Pd12 after structural relaxation.

Cell lengths 4.130, 4.130, 16.597 Å; angles 90.00, 90.00, 90.00 degrees
Fractional coordinates of all 16 atoms:
Nd  0.000  0.000  0.000
Ho  0.000  0.000  0.253
Ho  0.000  0.000  0.500
Ho  0.000  0.000  0.747
Pd  0.500  0.500  0.000
Pd  0.500  0.500  0.253
Pd  0.500  0.500  0.500
Pd  0.500  0.500  0.747
Pd  0.500  0.000  0.130
Pd  0.500  0.000  0.376
Pd  0.500  0.000  0.624
Pd  0.500  0.000  0.870
Pd  0.000  0.500  0.130
Pd  0.000  0.500  0.376
Pd  0.000  0.500  0.624
Pd  0.000  0.500  0.870

Size of the total moment: 0.000 μB per formula unit
Symmetry: P4/mmm, No. 123
DFT formation energy: -0.86 eV/atom
Raw total energy: -5.91 eV/atom

=====

No. 6
The following is a DFT calculation (GGA-PBE) of NdHo3Pd after structural relaxation.

Cell lengths 7.602, 7.602, 7.170 Å; angles 102.12, 115.78, 113.06 degrees
Fractional coordinates of all 10 atoms:
Nd  0.735  0.042  0.777
Nd  0.265  0.958  0.223
Ho  0.834  0.099  0.336
Ho  0.236  0.502  0.336
Ho  0.764  0.498  0.664
Ho  0.698  0.426  0.123
Ho  0.166  0.901  0.664
Ho  0.302  0.574  0.877
Pd  0.652  0.724  0.375
Pd  0.348  0.276  0.625

Size of the total moment: 0.001 μB per formula unit
Symmetry: C2/m, No. 12
Energy above the lowest structure with this stoichiometry: 22.9 kJ/mol of formula units
DFT formation energy: -0.27 eV/atom
Raw total energy: -5.01 eV/atom

=====

No. 7
The following is a DFT calculation (GGA-PBE) of NdHoPd after structural relaxation.

Cell lengths 3.990, 4.792, 4.792 Å; angles 120.00, 90.00, 90.00 degrees
Fractional coordinates of all 3 atoms:
Nd  0.627  0.667  0.333
Ho  0.099  0.000  0.000
Pd  0.274  0.333  0.667

Size of the total moment: 0.000 μB per formula unit
Symmetry: P3m1, No. 156
Energy above the lowest structure with this stoichiometry: 36.3 kJ/mol of formula units
DFT formation energy: -0.39 eV/atom
Raw total energy: -5.23 eV/atom

=====

No. 8
The following is a DFT calculation (GGA-PBE) of NdHoPd after structural relaxation.

Cell lengths 3.610, 7.225, 6.986 Å; angles 100.77, 90.00, 104.47 degrees
Fractional coordinates of all 6 atoms:
Pd  0.997  0.993  0.197
Pd  0.003  0.007  0.803
Ho  0.634  0.267  0.059
Ho  0.366  0.733  0.941
Nd  0.857  0.713  0.447
Nd  0.143  0.287  0.553

Size of the total moment: 0.000 μB per formula unit
Symmetry: C2/m, No. 12
Energy above the lowest structure with this stoichiometry: 30.6 kJ/mol of formula units
DFT formation energy: -0.41 eV/atom
Raw total energy: -5.25 eV/atom

=====

No. 9
The following is a DFT calculation (GGA-PBE) of Nd3Ho4Pd4 after structural relaxation.

Cell lengths 4.782, 7.602, 8.977 Å; angles 115.05, 105.45, 90.00 degrees
Fractional coordinates of all 11 atoms:
Nd  0.103  0.103  0.205
Nd  0.897  0.897  0.795
Nd  0.000  0.500  0.000
Ho  0.327  0.111  0.655
Ho  0.673  0.456  0.345
Ho  0.673  0.889  0.345
Ho  0.327  0.544  0.655
Pd  0.204  0.704  0.409
Pd  0.796  0.296  0.591
Pd  0.500  0.813  0.000
Pd  0.500  0.187  0.000

Size of the total moment: 0.000 μB per formula unit
Symmetry: Immm, No. 71
DFT formation energy: -0.58 eV/atom
Raw total energy: -5.43 eV/atom

=====

No. 10
The following is a DFT calculation (GGA-PBE) of NdHoPd4 after structural relaxation.

Cell lengths 4.225, 5.787, 10.095 Å; angles 90.00, 102.08, 90.00 degrees
Fractional coordinates of all 12 atoms:
Nd  0.723  0.250  0.445
Nd  0.277  0.750  0.555
Ho  0.425  0.250  0.849
Ho  0.575  0.750  0.151
Pd  0.000  0.000  0.000
Pd  0.000  0.500  0.000
Pd  0.144  0.007  0.289
Pd  0.856  0.507  0.711
Pd  0.144  0.493  0.289
Pd  0.856  0.993  0.711
Pd  0.572  0.250  0.143
Pd  0.428  0.750  0.857

Size of the total moment: 0.000 μB per formula unit
Symmetry: Cmcm, No. 63
Energy above the lowest structure with this stoichiometry: 0.0 kJ/mol of formula units
DFT formation energy: -0.86 eV/atom
Raw total energy: -5.88 eV/atom

=====

No. 11
The following is a DFT calculation (GGA-PBE) of NdHoPd4 after structural relaxation.

Cell lengths 3.951, 3.951, 8.632 Å; angles 90.01, 90.01, 90.00 degrees
Fractional coordinates of all 6 atoms:
Nd  0.501  0.497  0.998
Ho  0.001  0.997  0.498
Pd  0.501  0.997  0.256
Pd  0.501  0.997  0.740
Pd  0.001  0.497  0.740
Pd  0.001  0.497  0.256

Size of the total moment: 0.000 μB per formula unit
Symmetry: P4/mmm, No. 123
Energy above the lowest structure with this stoichiometry: 165.6 kJ/mol of formula units
DFT formation energy: -0.57 eV/atom
Raw total energy: -5.59 eV/atom

=====

No. 12
The following is a DFT calculation (GGA-PBE) of Nd2HoPd after structural relaxation.

Cell lengths 5.126, 3.620, 8.732 Å; angles 90.04, 89.97, 44.85 degrees
Fractional coordinates of all 4 atoms:
Nd  0.878  0.999  0.535
Nd  0.378  0.998  0.228
Ho  0.377  0.000  0.838
Pd  0.877  0.000  0.009

Size of the total moment: 0.000 μB per formula unit
Symmetry: Cm, No. 8
Energy above the lowest structure with this stoichiometry: 6.3 kJ/mol of formula units
DFT formation energy: -0.39 eV/atom
Raw total energy: -5.21 eV/atom

=====

No. 13
The following is a DFT calculation (GGA-PBE) of Nd2HoPd after structural relaxation.

Cell lengths 3.865, 6.359, 9.903 Å; angles 90.00, 90.00, 107.69 degrees
Fractional coordinates of all 8 atoms:
Nd  0.365  0.730  0.560
Nd  0.635  0.270  0.440
Nd  0.365  0.730  0.940
Nd  0.635  0.270  0.060
Ho  0.925  0.849  0.250
Ho  0.075  0.151  0.750
Pd  0.763  0.525  0.750
Pd  0.237  0.475  0.250

Size of the total moment: 0.000 μB per formula unit
Symmetry: Cmcm, No. 63
Energy above the lowest structure with this stoichiometry: 0.0 kJ/mol of formula units
DFT formation energy: -0.40 eV/atom
Raw total energy: -5.23 eV/atom

=====

No. 14
The following is a DFT calculation (GGA-PBE) of NdHo4Pd4 after structural relaxation.

Cell lengths 5.747, 9.073, 9.073 Å; angles 90.00, 90.00, 90.00 degrees
Fractional coordinates of all 18 atoms:
Nd  0.000  0.000  0.000
Nd  0.500  0.500  0.500
Ho  0.414  0.328  0.903
Ho  0.914  0.597  0.828
Ho  0.414  0.672  0.097
Ho  0.086  0.172  0.597
Ho  0.586  0.903  0.672
Ho  0.086  0.828  0.403
Ho  0.914  0.403  0.172
Ho  0.586  0.097  0.328
Pd  0.588  0.790  0.371
Pd  0.588  0.210  0.629
Pd  0.088  0.871  0.710
Pd  0.912  0.290  0.871
Pd  0.912  0.710  0.129
Pd  0.412  0.371  0.210
Pd  0.412  0.629  0.790
Pd  0.088  0.129  0.290

Size of the total moment: 0.000 μB per formula unit
Symmetry: P4_2/n, No. 86
DFT formation energy: -0.67 eV/atom
Raw total energy: -5.54 eV/atom

=====

No. 15
The following is a DFT calculation (GGA-PBE) of NdHoPd4 after structural relaxation.

Cell lengths 5.482, 5.482, 5.482 Å; angles 60.00, 60.00, 60.00 degrees
Fractional coordinates of all 6 atoms:
Nd  0.250  0.250  0.250
Ho  0.000  0.000  0.000
Pd  0.625  0.625  0.124
Pd  0.625  0.124  0.625
Pd  0.625  0.625  0.625
Pd  0.124  0.625  0.625

Size of the total moment: 0.000 μB per formula unit
Symmetry: F-43m, No. 216
Energy above the lowest structure with this stoichiometry: 40.0 kJ/mol of formula units
DFT formation energy: -0.79 eV/atom
Raw total energy: -5.81 eV/atom

=====

No. 16
The following is a DFT calculation (GGA-PBE) of NdHoPdPt after structural relaxation.

Cell lengths 5.024, 5.024, 5.024 Å; angles 60.00, 60.00, 60.00 degrees
Fractional coordinates of all 4 atoms:
Pd  0.250  0.250  0.250
Nd  0.500  0.500  0.500
Ho  0.000  0.000  0.000
Pt  0.750  0.750  0.750

Size of the total moment: 0.000 μB per formula unit
Symmetry: F-43m, No. 216
Energy above the lowest structure with this stoichiometry: 26.3 kJ/mol of formula units
DFT formation energy: -0.98 eV/atom
Raw total energy: -6.12 eV/atom

=====

No. 17
The following is a DFT calculation (GGA-PBE) of NdHoPdPt after structural relaxation.

Cell lengths 3.824, 4.531, 5.700 Å; angles 90.00, 109.60, 90.00 degrees
Fractional coordinates of all 4 atoms:
Nd  0.139  0.000  0.277
Ho  0.864  0.500  0.729
Pd  0.585  0.500  0.171
Pt  0.412  0.000  0.824

Size of the total moment: 0.000 μB per formula unit
Symmetry: Amm2, No. 38
Energy above the lowest structure with this stoichiometry: 0.0 kJ/mol of formula units
DFT formation energy: -1.04 eV/atom
Raw total energy: -6.19 eV/atom

=====

No. 18
The following is a DFT calculation (GGA-PBE) of NdHoPdRu after structural relaxation.

Cell lengths 4.952, 4.952, 4.952 Å; angles 60.00, 60.00, 60.00 degrees
Fractional coordinates of all 4 atoms:
Ru  0.750  0.750  0.750
Nd  0.000  0.000  0.000
Ho  0.500  0.500  0.500
Pd  0.250  0.250  0.250

Size of the total moment: 0.000 μB per formula unit
Symmetry: F-43m, No. 216
DFT formation energy: -0.53 eV/atom
Raw total energy: -6.49 eV/atom

=====

No. 19
The following is a DFT calculation (GGA-PBE) of NdHoSi2Pd2 after structural relaxation.

Cell lengths 4.227, 4.227, 7.992 Å; angles 90.00, 90.00, 120.00 degrees
Fractional coordinates of all 6 atoms:
Nd  0.000  0.000  0.000
Ho  0.000  0.000  0.500
Si  0.333  0.667  0.255
Si  0.667  0.333  0.745
Pd  0.333  0.667  0.729
Pd  0.667  0.333  0.271

Size of the total moment: 0.000 μB per formula unit
Symmetry: P-3m1, No. 164
Energy relative to the elements, uncorrected: -0.913 eV per atom
Raw total energy: -6.01 eV/atom

=====

No. 20
The following is a DFT calculation (GGA-PBE) of NdHoSiPd after structural relaxation.

Cell lengths 5.059, 5.059, 5.059 Å; angles 60.00, 60.00, 60.00 degrees
Fractional coordinates of all 4 atoms:
Si  0.750  0.750  0.750
Nd  0.500  0.500  0.500
Ho  0.000  0.000  0.000
Pd  0.250  0.250  0.250

Size of the total moment: 0.000 μB per formula unit
Symmetry: F-43m, No. 216
Energy relative to the elements, uncorrected: -0.665 eV per atom
Raw total energy: -5.66 eV/atom

=====

no.,Fermi-level density of states (states/eV per cell)
1,21.4
2,4.4
3,8.2
4,16.9
5,11.8
6,14.0
7,2.5
8,6.5
9,11.2
10,2.7
11,2.7
12,4.8
13,10.0
14,15.5
15,1.6
16,3.7
17,2.4
18,2.7
19,4.7
20,2.4